[1]
Pu5Ge3Ru | PBE | relaxed

The structure belongs to space group C2/m (No. 12); the cell edges are 11.757, 8.396 and 8.629 Å and the angles 90.00°, 98.41° and 90.00°. Symmetry generates all atoms from Pu at (0.000, 0.166, 0.000), Pu at (0.012, 0.000, 0.645), Pu at (0.131, 0.260, 0.677), Pu at (0.249, 0.500, 0.101), Ge at (0.000, 0.500, 0.000), Ge at (0.000, 0.500, 0.500), Ge at (0.193, 0.000, 0.205), Ge at (0.236, 0.000, 0.509) and Ru at (0.100, 0.500, 0.269).

For the final energy, the calculation gives -10.41 eV per atom. Its magnetic moment is 23.85 μB/cell. For the formation energy, the calculation gives 0.118 eV per atom.

=====

[2]
Pu2Ge2Ru | PBE | relaxed

The structure belongs to space group Cmc2_1 (No. 36); the cell edges are 4.601, 14.568 and 6.086 Å and the angles 90.00°, 90.00° and 90.00°. Symmetry generates all atoms from Pu at (0.000, 0.022, 0.000), Pu at (0.000, 0.192, 0.184), Ge at (0.000, 0.178, 0.685), Ge at (0.000, 0.437, 0.775) and Ru at (0.000, 0.388, 0.162).

For the final energy, the calculation gives -9.75 eV per atom. Its magnetic moment is 0.91 μB/cell. The value obtained for the distance to the lowest polymorph of the same formula is 125.7 meV/atom. For the formation energy, the calculation gives -0.310 eV per atom.

=====

[3]
Pu3Ge7Ru2 | PBE | relaxed

The structure belongs to space group P2/m (No. 10); the cell edges are 4.293, 4.270 and 13.094 Å and the angles 90.00°, 99.41° and 90.00°. Symmetry generates all atoms from Pu at (0.000, 0.000, 0.000), Pu at (0.316, 0.500, 0.633), Ge at (0.083, 0.500, 0.167), Ge at (0.222, 0.000, 0.444), Ge at (0.417, 0.000, 0.833), Ge at (0.500, 0.500, 0.000) and Ru at (0.127, 0.000, 0.256).

For the final energy, the calculation gives -8.23 eV per atom. Its magnetic moment is 15.61 μB/cell. For the formation energy, the calculation gives -0.404 eV per atom.